No. 1
## Hf3InSb (PBE-GGA)

Data for a geometry-optimized Hf3InSb structure.

Summary:
DOS at the Fermi energy ... 0.79 states/eV per atom
Space-group type ... C2/c, No. 15
M_tot ... 0.00 Bohr magnetons per cell
Calculated total energy ... -150.53 eV/cell

Unit cell a=8.0419 b=8.0419 c=10.6493 alpha=79.29 beta=79.29 gamma=40.99
Atoms (fractional coordinates):
Hf: 0.8765 0.9229 0.7730
Hf: 0.0771 0.1235 0.7270
Hf: 0.1235 0.0771 0.2270
Hf: 0.9229 0.8765 0.2730
Hf: 0.6688 0.7393 0.7363
Hf: 0.2607 0.3312 0.7637
Hf: 0.3312 0.2607 0.2637
Hf: 0.7393 0.6688 0.2363
Hf: 0.2986 0.8083 0.9834
Hf: 0.1917 0.7014 0.5166
Hf: 0.8083 0.2986 0.4834
Hf: 0.7014 0.1917 0.0166
In: 0.9005 0.3992 0.9778
In: 0.6008 0.0995 0.5222
In: 0.0995 0.6008 0.0222
In: 0.3992 0.9005 0.4778
Sb: 0.0000 0.5000 0.5000
Sb: 0.5000 0.0000 0.0000
Sb: 0.5158 0.4842 0.2500
Sb: 0.4842 0.5158 0.7500


No. 2
## HfInSb2 (PBE-GGA)

Data for a geometry-optimized HfInSb2 structure.

Summary:
DOS at the Fermi energy ... 0.30 states/eV per atom
Space-group type ... R3m, No. 160
M_tot ... 0.00 Bohr magnetons per cell
Calculated total energy ... -21.52 eV/cell

Unit cell a=3.8879 b=3.8879 c=8.8335 alpha=77.29 beta=77.29 gamma=60.00
Atoms (fractional coordinates):
Hf: 0.6667 0.6667 0.9998
In: 0.5005 0.5005 0.4985
Sb: 0.0725 0.0725 0.7825
Sb: 0.2603 0.2603 0.2192


No. 3
## Hf2InSb (PBE-GGA)

Data for a geometry-optimized Hf2InSb structure.

Summary:
DOS at the Fermi energy ... 0.43 states/eV per atom
Space-group type ... R-3m, No. 166
M_tot ... 0.00 Bohr magnetons per cell
Calculated total energy ... -27.03 eV/cell

Unit cell a=3.9904 b=3.9904 c=7.4336 alpha=74.43 beta=74.43 gamma=60.00
Atoms (fractional coordinates):
Sb: 0.5000 0.5000 0.5000
Hf: 0.2497 0.2497 0.2509
Hf: 0.7503 0.7503 0.7491
In: 0.0000 0.0000 0.0000


No. 4
## Hf12InSb6 (PBE-GGA)

Data for a geometry-optimized Hf12InSb6 structure.

Summary:
DOS at the Fermi energy ... 0.77 states/eV per atom
Space-group type ... R-3, No. 148
M_tot ... 0.00 Bohr magnetons per cell
Calculated total energy ... -150.18 eV/cell

Unit cell a=7.5384 b=7.5384 c=7.5384 alpha=91.84 beta=91.84 gamma=91.84
Atoms (fractional coordinates):
Hf: 0.8015 0.5277 0.4330
Hf: 0.4330 0.8015 0.5277
Hf: 0.5277 0.4330 0.8015
Hf: 0.1985 0.4723 0.5670
Hf: 0.5670 0.1985 0.4723
Hf: 0.4723 0.5670 0.1985
Hf: 0.0475 0.1416 0.3716
Hf: 0.8584 0.6284 0.9525
Hf: 0.6284 0.9525 0.8584
Hf: 0.9525 0.8584 0.6284
Hf: 0.1416 0.3716 0.0475
Hf: 0.3716 0.0475 0.1416
In: 0.0000 0.0000 0.0000
Sb: 0.7125 0.8791 0.2803
Sb: 0.7197 0.2875 0.1209
Sb: 0.1209 0.7197 0.2875
Sb: 0.2875 0.1209 0.7197
Sb: 0.2803 0.7125 0.8791
Sb: 0.8791 0.2803 0.7125


No. 5
## Hf10In3Sb3 (PBE-GGA)

Data for a geometry-optimized Hf10In3Sb3 structure.

Summary:
DOS at the Fermi energy ... 0.46 states/eV per atom
Space-group type ... P-62m, No. 189
M_tot ... 0.00 Bohr magnetons per cell
Calculated total energy ... -125.16 eV/cell

Unit cell a=8.4317 b=8.4317 c=5.7162 alpha=90.00 beta=90.00 gamma=120.00
Atoms (fractional coordinates):
Hf: 0.3333 0.6667 0.2485
Hf: 0.6667 0.3333 0.2485
Hf: 0.6667 0.3333 0.7515
Hf: 0.3333 0.6667 0.7515
Hf: 0.7528 0.0000 0.0000
Hf: 0.0000 0.7528 0.0000
Hf: 0.2472 0.2472 0.0000
Hf: 0.2400 0.0000 0.5000
Hf: 0.0000 0.2400 0.5000
Hf: 0.7600 0.7600 0.5000
In: 0.3914 0.0000 0.0000
In: 0.0000 0.3914 0.0000
In: 0.6086 0.6086 0.0000
Sb: 0.6047 0.0000 0.5000
Sb: 0.0000 0.6047 0.5000
Sb: 0.3953 0.3953 0.5000


No. 6
## Hf2InSb (PBE-GGA)

Data for a geometry-optimized Hf2InSb structure.

Summary:
DOS at the Fermi energy ... 0.27 states/eV per atom
Space-group type ... I-42d, No. 122
M_tot ... 0.00 Bohr magnetons per cell
Calculated total energy ... -47.29 eV/cell

Unit cell a=6.0730 b=6.0730 c=8.4839 alpha=69.03 beta=69.03 gamma=90.00
Atoms (fractional coordinates):
Sb: 0.0000 0.0000 0.0000
Sb: 0.7500 0.2500 0.5000
Hf: 0.6172 0.1250 0.2500
Hf: 0.1328 0.6250 0.2500
Hf: 0.3750 0.3828 0.7500
Hf: 0.8750 0.8672 0.7500
In: 0.5000 0.5000 0.0000
In: 0.2500 0.7500 0.5000


No. 7
## HfInSb2 (PBE-GGA)

Data for a geometry-optimized HfInSb2 structure.

Summary:
DOS at the Fermi energy ... 0.55 states/eV per atom
Space-group type ... P4/mmm, No. 123
M_tot ... 0.00 Bohr magnetons per cell
Calculated total energy ... -21.66 eV/cell

Unit cell a=3.9050 b=3.9050 c=6.3930 alpha=90.00 beta=90.00 gamma=90.00
Atoms (fractional coordinates):
Sb: 0.0000 0.0000 0.7698
Sb: 0.0000 0.0000 0.2302
Hf: 0.5000 0.5000 0.0000
In: 0.5000 0.5000 0.5000


No. 8
## Hf5InSb (PBE-GGA)

Data for a geometry-optimized Hf5InSb structure.

Summary:
DOS at the Fermi energy ... 1.10 states/eV per atom
Space-group type ... C2/c, No. 15
M_tot ... 0.00 Bohr magnetons per cell
Calculated total energy ... -110.96 eV/cell

Unit cell a=7.4299 b=7.4299 c=11.0176 alpha=48.96 beta=48.96 gamma=68.45
Atoms (fractional coordinates):
Hf: 0.7040 0.6526 0.1347
Hf: 0.4779 0.7876 0.4103
Hf: 0.6526 0.7040 0.6347
Hf: 0.8338 0.1662 0.2500
Hf: 0.2124 0.5221 0.0897
Hf: 0.7876 0.4779 0.9103
Hf: 0.1662 0.8338 0.7500
Hf: 0.3474 0.2960 0.3653
Hf: 0.5221 0.2124 0.5897
Hf: 0.2960 0.3474 0.8653
In: 0.2062 0.7938 0.2500
In: 0.7938 0.2062 0.7500
Sb: 0.0000 0.0000 0.0000
Sb: 0.0000 0.0000 0.5000


For each record above, in turn, the calculated energy relative to the elements, uncorrected values are -0.182; -0.146; -0.066; -0.172; -0.315; 0.781; -0.180; 0.164 eV per atom.